# KMg30MnO32 | the Alexandria database | PBE+U | relaxed
# * calculated total energy: -5.946 eV/atom
# * crystal system: tetragonal
data_KMg30MnO32
_symmetry_space_group_name_H-M 'P 1'
_symmetry_Int_Tables_number 1
_symmetry_space_group_name_Hall 'P 1'
_cell_length_a 8.5669
_cell_length_b 8.5669
_cell_length_c 8.6376
_cell_angle_alpha 90.00
_cell_angle_beta 90.00
_cell_angle_gamma 90.00
loop_
_atom_site_label
_atom_site_type_symbol
_atom_site_fract_x
_atom_site_fract_y
_atom_site_fract_z
K1 K 0.0000 0.0000 0.0000
Mg1 Mg 0.0000 0.0000 0.5000
Mg2 Mg 0.0000 0.2507 0.2522
Mg3 Mg 0.0000 0.2507 0.7478
Mg4 Mg 0.0000 0.5000 0.0000
Mg5 Mg 0.0000 0.5000 0.5000
Mg6 Mg 0.0000 0.7493 0.2522
Mg7 Mg 0.0000 0.7493 0.7478
Mg8 Mg 0.2488 0.2488 0.0000
Mg9 Mg 0.2489 0.2489 0.5000
Mg10 Mg 0.2488 0.7512 0.0000
Mg11 Mg 0.2489 0.7511 0.5000
Mg12 Mg 0.2496 0.5000 0.2542
Mg13 Mg 0.2496 0.5000 0.7458
Mg14 Mg 0.2507 0.0000 0.2522
Mg15 Mg 0.2507 0.0000 0.7478
Mg16 Mg 0.5000 0.0000 0.0000
Mg17 Mg 0.5000 0.0000 0.5000
Mg18 Mg 0.5000 0.2496 0.2542
Mg19 Mg 0.5000 0.2496 0.7458
Mg20 Mg 0.5000 0.5000 0.5000
Mg21 Mg 0.5000 0.7504 0.2542
Mg22 Mg 0.5000 0.7504 0.7458
Mg23 Mg 0.7493 0.0000 0.2522
Mg24 Mg 0.7493 0.0000 0.7478
Mg25 Mg 0.7504 0.5000 0.2542
Mg26 Mg 0.7504 0.5000 0.7458
Mg27 Mg 0.7512 0.2488 0.0000
Mg28 Mg 0.7511 0.2489 0.5000
Mg29 Mg 0.7512 0.7512 0.0000
Mg30 Mg 0.7511 0.7511 0.5000
Mn1 Mn 0.5000 0.5000 0.0000
O1 O 0.0000 0.0000 0.2734
O2 O 0.0000 0.0000 0.7266
O3 O 0.0000 0.2549 0.5000
O4 O 0.0000 0.2750 0.0000
O5 O 0.0000 0.5000 0.2520
O6 O 0.0000 0.5000 0.7480
O7 O 0.0000 0.7250 0.0000
O8 O 0.0000 0.7451 0.5000
O9 O 0.2504 0.5000 0.5000
O10 O 0.2506 0.2506 0.2489
O11 O 0.2506 0.2506 0.7511
O12 O 0.2506 0.7494 0.2489
O13 O 0.2506 0.7494 0.7511
O14 O 0.2549 0.0000 0.5000
O15 O 0.2656 0.5000 0.0000
O16 O 0.2750 0.0000 0.0000
O17 O 0.5000 0.0000 0.2520
O18 O 0.5000 0.0000 0.7480
O19 O 0.5000 0.2504 0.5000
O20 O 0.5000 0.2656 0.0000
O21 O 0.5000 0.5000 0.2574
O22 O 0.5000 0.5000 0.7426
O23 O 0.5000 0.7344 0.0000
O24 O 0.5000 0.7496 0.5000
O25 O 0.7250 0.0000 0.0000
O26 O 0.7344 0.5000 0.0000
O27 O 0.7451 0.0000 0.5000
O28 O 0.7494 0.2506 0.2489
O29 O 0.7494 0.2506 0.7511
O30 O 0.7494 0.7494 0.2489
O31 O 0.7494 0.7494 0.7511
O32 O 0.7496 0.5000 0.5000